No. 1
The following is a GGA-PBE calculation of an optimized crystal structure of La2TiHgO, from Alexandria via LeMat-Bulk.

abc: 5.3472 5.3472 4.0233
angles: 90.00 90.00 90.00
Closest atoms and distances in Å follow each position.
Positions (direct):
La: 0.0000 0.5000 0.0000  2 O 2.67
La: 0.5000 0.0000 0.0000  2 O 2.67
Ti: 0.0000 0.0000 0.5000  2 O 2.01
Hg: 0.5000 0.5000 0.5000  8 La 3.35
O: 0.0000 0.0000 0.0000  2 Ti 2.01

Calculated values
The total magnetization comes out at 1.6 μB/cell. As for the space group: P4/mmm. For the formation energy (no corrections), the calculation gives -1.2460 eV/atom.

---

No. 2
The following is a GGA-PBE calculation of an optimized crystal structure of La2TiHgO6, from Alexandria via LeMat-Bulk.

abc: 5.5054 5.5054 5.2842
angles: 90.00 90.00 90.00
Closest atoms and distances in Å follow each position.
Positions (direct):
La: 0.0000 0.5000 0.0000  4 O 2.37
La: 0.5000 0.0000 0.0000  4 O 2.37
Ti: 0.0000 0.0000 0.6077  5 O 1.83-1.94
Hg: 0.5000 0.5000 0.5271  1 O 2.11
O: 0.0000 0.0000 0.2621  1 Ti 1.83
O: 0.2310 0.2310 0.7461  1 Ti 1.94
O: 0.2310 0.7690 0.7461  1 Ti 1.94
O: 0.5000 0.5000 0.1285  1 Hg 2.11
O: 0.7690 0.2310 0.7461  1 Ti 1.94
O: 0.7690 0.7690 0.7461  1 Ti 1.94

Calculated values
The total magnetization comes out at 0.0 μB/cell. As for the space group: P4mm. For the formation energy (no corrections), the calculation gives -2.6210 eV/atom.

---

Q: The lowest total magnetization belongs to which entry?
A: La2TiHgO6